No. 1
Ba5Sr3Ni2 after structural relaxation. Source: the Alexandria database, functional PBE-GGA.

Cell: 8.8555 11.6932 11.6932 Å, 64.44 67.75 67.75°
Positions (direct):
Ba 0.2500 0.5000 0.5000
Ba 0.7500 0.5000 0.5000
Ba 0.4927 0.7573 0.7573
Ba 0.0073 0.2427 0.2427
Ba 0.5073 0.2427 0.2427
Ba 0.9927 0.7573 0.7573
Ba 0.1228 0.6371 0.1174
Ba 0.8772 0.3629 0.8826
Ba 0.6228 0.1174 0.6371
Ba 0.3772 0.8826 0.3629
Sr 0.2500 0.0000 0.0000
Sr 0.7500 0.0000 0.0000
Sr 0.3781 0.3603 0.8835
Sr 0.6219 0.6397 0.1165
Sr 0.8781 0.8835 0.3603
Sr 0.1219 0.1165 0.6397
Ni 0.1237 0.8766 0.8760
Ni 0.8763 0.1234 0.1240
Ni 0.6237 0.8760 0.8766
Ni 0.3763 0.1240 0.1234

Crystal system: orthorhombic
ΔH_f (0 K) (meV/atom): 10
Space-group type: Ibam, No. 72

No. 2
FeW2Br after structural relaxation. Source: the Alexandria database, functional PBE-GGA.

Cell: 5.3822 5.3822 5.3822 Å, 147.28 130.24 60.84°
Each line ends with the local moment (μB).
Positions (direct):
Br 0.7500 0.2500 0.5000  0.02
Fe 0.2500 0.7500 0.5000  2.35
W 0.9974 0.9974 0.0000  -0.13
W 0.5026 0.5026 0.0000  -0.13

Crystal system: orthorhombic
Formation energy without anion corrections (eV/atom): 1.02
Space-group type: Immm, No. 71

No. 3
HfPt2Se after structural relaxation. Source: the Alexandria database, functional PBE-GGA.

Cell: 5.8807 5.8807 7.0839 Å, 65.48 65.48 90.00°
Positions (direct):
Hf 0.0000 0.0000 0.0000
Hf 0.7500 0.2500 0.5000
Se 0.5000 0.5000 0.0000
Se 0.2500 0.7500 0.5000
Pt 0.6065 0.1250 0.2500
Pt 0.1435 0.6250 0.2500
Pt 0.3750 0.3935 0.7500
Pt 0.8750 0.8565 0.7500

Crystal system: tetragonal
Formation energy without anion corrections (eV/atom): -0.28
Space-group type: I-42d, No. 122

No. 4
NaSr3Pt after structural relaxation. Source: the Alexandria database, functional PBE-GGA.

Cell: 8.6991 8.6991 6.7865 Å, 90.00 90.00 128.36°
Positions (direct):
Sr 0.0554 0.4414 0.2500
Sr 0.5586 0.9446 0.2500
Sr 0.4414 0.0554 0.7500
Sr 0.9446 0.5586 0.7500
Sr 0.0000 0.0000 0.0000
Sr 0.0000 0.0000 0.5000
Pt 0.1635 0.8365 0.2500
Pt 0.8365 0.1635 0.7500
Na 0.5679 0.4321 0.2500
Na 0.4321 0.5679 0.7500

Crystal system: orthorhombic
ΔH_f (0 K) (meV/atom): -171
Space-group type: Cmcm, No. 63

No. 5
NiRuSN2 after structural relaxation. Source: the Alexandria database, functional PBE-GGA.

Cell: 3.7041 3.7041 5.2230 Å, 90.00 90.00 90.00°
Each line ends with the local moment (μB).
Positions (direct):
Ru 0.0000 0.0000 0.0000  -0.05
S 0.0000 0.0000 0.5000  0.06
N 0.0000 0.5000 0.0000  0.19
N 0.5000 0.0000 0.0000  0.19
Ni 0.5000 0.5000 0.5000  0.90

Crystal system: tetragonal
Formation energy without anion corrections (eV/atom): 0.96
Space-group type: P4/mmm, No. 123

No. 6
LiIrW after structural relaxation. Source: the Alexandria database, functional PBE-GGA.

Cell: 7.3019 7.0862 2.7035 Å, 83.70 74.71 21.59°
Positions (direct):
Ir 0.0004 0.0004 0.9996
Li 0.3397 0.3397 0.6603
W 0.6599 0.6599 0.3401

Crystal system: orthorhombic
ΔH_f (0 K) (meV/atom): 185
Space-group type: Fmm2, No. 42